No. 1
A crystal of TcHgNF2 relaxed with PBEsol, computed with meta-GGA SCAN.

CIF file:
```
data_TcHgNF2
_chemical_formula_sum 'Tc1 Hg1 N1 F2'
_cell_length_a 4.364
_cell_length_b 4.364
_cell_length_c 4.179
_cell_angle_alpha 90.00
_cell_angle_beta 90.00
_cell_angle_gamma 90.00
_symmetry_space_group_name_H-M 'P 1'
_symmetry_Int_Tables_number 1
loop_
_symmetry_equiv_pos_as_xyz
'x,y,z'
loop_
_atom_site_label
_atom_site_type_symbol
_atom_site_fract_x
_atom_site_fract_y
_atom_site_fract_z
Tc1 Tc 0.000 0.000 0.000
Hg1 Hg 0.500 0.500 0.500
N1 N 0.500 0.500 0.000
F1 F 0.000 0.500 0.500
F2 F 0.500 0.000 0.500
```



No. 2
A crystal of YHgNF2 relaxed with PBEsol, computed with meta-GGA SCAN.

CIF file:
```
data_YHgNF2
_chemical_formula_sum 'Y1 Hg1 N1 F2'
_cell_length_a 4.227
_cell_length_b 4.227
_cell_length_c 4.734
_cell_angle_alpha 90.00
_cell_angle_beta 90.00
_cell_angle_gamma 90.00
_symmetry_space_group_name_H-M 'P 1'
_symmetry_Int_Tables_number 1
loop_
_symmetry_equiv_pos_as_xyz
'x,y,z'
loop_
_atom_site_label
_atom_site_type_symbol
_atom_site_fract_x
_atom_site_fract_y
_atom_site_fract_z
Y1 Y 0.000 0.000 0.000
Hg1 Hg 0.500 0.500 0.500
N1 N 0.000 0.000 0.500
F1 F 0.000 0.500 0.000
F2 F 0.500 0.000 0.000
```



No. 3
A crystal of Na3HgF relaxed with PBEsol, computed with meta-GGA SCAN.

CIF file:
```
data_Na3HgF
_chemical_formula_sum 'Na3 Hg1 F1'
_cell_length_a 5.649
_cell_length_b 5.649
_cell_length_c 5.649
_cell_angle_alpha 90.00
_cell_angle_beta 90.00
_cell_angle_gamma 90.00
_symmetry_space_group_name_H-M 'P 1'
_symmetry_Int_Tables_number 1
loop_
_symmetry_equiv_pos_as_xyz
'x,y,z'
loop_
_atom_site_label
_atom_site_type_symbol
_atom_site_fract_x
_atom_site_fract_y
_atom_site_fract_z
Na1 Na 0.000 0.000 0.500
Na2 Na 0.000 0.500 0.000
Na3 Na 0.500 0.000 0.000
Hg1 Hg 0.000 0.000 0.000
F1 F 0.500 0.500 0.500
```



No. 4
A crystal of NaHgO2F relaxed with PBEsol, computed with meta-GGA SCAN.

CIF file:
```
data_NaHgO2F
_chemical_formula_sum 'Na1 Hg1 O2 F1'
_cell_length_a 4.112
_cell_length_b 4.112
_cell_length_c 4.002
_cell_angle_alpha 90.00
_cell_angle_beta 90.00
_cell_angle_gamma 90.00
_symmetry_space_group_name_H-M 'P 1'
_symmetry_Int_Tables_number 1
loop_
_symmetry_equiv_pos_as_xyz
'x,y,z'
loop_
_atom_site_label
_atom_site_type_symbol
_atom_site_fract_x
_atom_site_fract_y
_atom_site_fract_z
Na1 Na 0.000 0.000 0.000
Hg1 Hg 0.500 0.500 0.500
O1 O 0.000 0.500 0.000
O2 O 0.500 0.000 0.000
F1 F 0.000 0.000 0.500
```



No. 5
A crystal of NaHgPd2F relaxed with PBEsol, computed with meta-GGA SCAN.

CIF file:
```
data_NaHgPd2F
_chemical_formula_sum 'Na1 Hg1 Pd2 F1'
_cell_length_a 4.494
_cell_length_b 4.494
_cell_length_c 4.037
_cell_angle_alpha 90.00
_cell_angle_beta 90.00
_cell_angle_gamma 90.00
_symmetry_space_group_name_H-M 'P 1'
_symmetry_Int_Tables_number 1
loop_
_symmetry_equiv_pos_as_xyz
'x,y,z'
loop_
_atom_site_label
_atom_site_type_symbol
_atom_site_fract_x
_atom_site_fract_y
_atom_site_fract_z
Na1 Na 0.000 0.000 0.000
Hg1 Hg 0.500 0.500 0.000
Pd1 Pd 0.000 0.500 0.500
Pd2 Pd 0.500 0.000 0.500
F1 F 0.000 0.000 0.500
```



No. 6
A crystal of NaScHg2F relaxed with PBEsol, computed with meta-GGA SCAN.

CIF file:
```
data_NaScHg2F
_chemical_formula_sum 'Na1 Sc1 Hg2 F1'
_cell_length_a 5.377
_cell_length_b 5.377
_cell_length_c 3.815
_cell_angle_alpha 90.00
_cell_angle_beta 90.00
_cell_angle_gamma 90.00
_symmetry_space_group_name_H-M 'P 1'
_symmetry_Int_Tables_number 1
loop_
_symmetry_equiv_pos_as_xyz
'x,y,z'
loop_
_atom_site_label
_atom_site_type_symbol
_atom_site_fract_x
_atom_site_fract_y
_atom_site_fract_z
Na1 Na 0.000 0.000 0.000
Sc1 Sc 0.500 0.500 0.500
Hg1 Hg 0.000 0.500 0.000
Hg2 Hg 0.500 0.000 0.000
F1 F 0.000 0.000 0.500
```



No. 7
A crystal of NaTi2HgF relaxed with PBEsol, computed with meta-GGA SCAN.

CIF file:
```
data_NaTi2HgF
_chemical_formula_sum 'Na1 Ti2 Hg1 F1'
_cell_length_a 5.169
_cell_length_b 5.169
_cell_length_c 3.708
_cell_angle_alpha 90.00
_cell_angle_beta 90.00
_cell_angle_gamma 90.00
_symmetry_space_group_name_H-M 'P 1'
_symmetry_Int_Tables_number 1
loop_
_symmetry_equiv_pos_as_xyz
'x,y,z'
loop_
_atom_site_label
_atom_site_type_symbol
_atom_site_fract_x
_atom_site_fract_y
_atom_site_fract_z
Na1 Na 0.000 0.000 0.000
Ti1 Ti 0.000 0.500 0.000
Ti2 Ti 0.500 0.000 0.000
Hg1 Hg 0.500 0.500 0.500
F1 F 0.000 0.000 0.500
```



No. 8
A crystal of NbHg2F relaxed with PBEsol, computed with meta-GGA SCAN.

CIF file:
```
data_NbHg2F
_chemical_formula_sum 'Nb1 Hg2 F1'
_cell_length_a 4.668
_cell_length_b 4.668
_cell_length_c 4.668
_cell_angle_alpha 60.00
_cell_angle_beta 60.00
_cell_angle_gamma 60.00
_symmetry_space_group_name_H-M 'P 1'
_symmetry_Int_Tables_number 1
loop_
_symmetry_equiv_pos_as_xyz
'x,y,z'
loop_
_atom_site_label
_atom_site_type_symbol
_atom_site_fract_x
_atom_site_fract_y
_atom_site_fract_z
Nb1 Nb 0.000 0.000 0.000
Hg1 Hg 0.250 0.250 0.250
Hg2 Hg 0.750 0.750 0.750
F1 F 0.500 0.500 0.500
```



| no. | V (Å³ per atom) | E_tot (eV per atom) |
| --- | --- | --- |
| 1 | 15.9 | -23.331 |
| 2 | 16.9 | -24.308 |
| 3 | 36.0 | -17.280 |
| 4 | 13.5 | -17.862 |
| 5 | 16.3 | -28.783 |
| 6 | 22.1 | -32.400 |
| 7 | 19.8 | -21.400 |
| 8 | 18.0 | -43.203 |